1.
The following is a GGA-PBE calculation of a relaxed CsAgHg2 crystal, from Alexandria.

POSCAR file:
```
CsAgHg2
1.0
2.536 1.464 6.510
-2.536 1.464 6.510
0.000 -2.928 6.510
Cs Ag Hg
1 1 2
direct
0.000 0.000 0.000 Cs
0.192 0.192 0.192 Ag
0.536 0.536 0.536 Hg
0.803 0.803 0.803 Hg
```

Properties
Volume (A^3/atom): 36.25
D(E_F) (states/eV/f.u.): 0.9
Formation energy from the elements (eV/atom): -0.128
Calculated total energy (eV for the cell shown): -4.82
Energy above the most stable polymorph in this dataset (eV per atom): 0.010
Space-group type: R3m (160)

=====

2.
The following is a GGA-PBE calculation of a relaxed PrSmDy crystal, from Alexandria.

POSCAR file:
```
PrSmDy
1.0
3.632 0.000 0.000
-1.816 3.145 0.000
0.000 0.000 17.746
Pr Sm Dy
2 2 2
direct
0.000 0.000 0.247 Pr
0.000 0.000 0.753 Pr
0.333 0.667 0.418 Sm
0.667 0.333 0.582 Sm
0.333 0.667 0.080 Dy
0.667 0.333 0.920 Dy
```

Properties
Volume (A^3/atom): 33.78
D(E_F) (states/eV/f.u.): 4.0
Formation energy from the elements (eV/atom): 0.018
Calculated total energy (eV for the cell shown): -28.09
Energy above the most stable polymorph in this dataset (eV per atom): 0.009
Space-group type: P-3m1 (164)

=====

3.
The following is a GGA-PBE calculation of a relaxed Y4InSnO crystal, from Alexandria.

POSCAR file:
```
Y4InSnO
1.0
3.249 -8.442 0.000
3.249 8.442 0.000
0.000 0.000 6.487
Y In Sn O
8 2 2 2
direct
0.000 0.500 0.000 Y
0.000 0.500 0.500 Y
0.071 0.929 0.750 Y
0.418 0.582 0.750 Y
0.500 0.000 0.000 Y
0.500 0.000 0.500 Y
0.582 0.418 0.250 Y
0.929 0.071 0.250 Y
0.113 0.887 0.250 In
0.887 0.113 0.750 In
0.390 0.610 0.250 Sn
0.610 0.390 0.750 Sn
0.270 0.730 0.750 O
0.730 0.270 0.250 O
```

Properties
Volume (A^3/atom): 25.42
D(E_F) (states/eV/f.u.): 4.6
Calculated total energy (eV for the cell shown): -92.33
Space-group type: Cmcm (63)
Uncorrected formation energy (eV per atom): -1.23